# 1
An optimized crystal structure of LiScTc2, computed with PBE-GGA.

Energy above the lowest structure with this stoichiometry in meV/atom: 238
Energy of formation in eV per formula unit: 0.79
Crystal system: tetragonal

a b c (Å): 3.2634 3.2634 5.8521
angles (deg): 90.00 90.00 90.00
Atoms (fractional coordinates):
Li: 0.5000 0.5000 0.2500
Sc: 0.5000 0.5000 0.7500
Tc: 0.0000 0.0000 0.0558
Tc: 0.0000 0.0000 0.4442

=====

# 2
An optimized crystal structure of Ti2CoHRh, computed with PBE-GGA.

Energy above the lowest structure with this stoichiometry in meV/atom: 0
Crystal system: tetragonal

a b c (Å): 4.1071 4.1071 3.4423
angles (deg): 90.00 90.00 90.00
Site moments in Bohr magnetons follow the coordinates.
Atoms (fractional coordinates):
Co: 0.0000 0.0000 0.5000  0.34
Rh: 0.5000 0.5000 0.5000  0.01
H: 0.0000 0.0000 0.0000  0.00
Ti: 0.0000 0.5000 0.0000  0.07
Ti: 0.5000 0.0000 0.0000  0.07

=====

# 3
An optimized crystal structure of LiEr3In3Ru2, computed with PBE-GGA.

Energy of formation in eV per formula unit: -3.38
Crystal system: hexagonal

a b c (Å): 3.7708 7.6161 7.6161
angles (deg): 120.00 90.00 90.00
Atoms (fractional coordinates):
Li: 0.0000 0.0000 0.0000
Er: 0.0000 0.5831 0.5831
Er: 0.0000 0.0000 0.4169
Er: 0.0000 0.4169 0.0000
In: 0.5000 0.7411 0.0000
In: 0.5000 0.0000 0.7411
In: 0.5000 0.2589 0.2589
Ru: 0.5000 0.6667 0.3333
Ru: 0.5000 0.3333 0.6667

=====

# 4
An optimized crystal structure of NdPaZnIn, computed with PBE-GGA.

Energy of formation in eV per formula unit: -0.02
Crystal system: cubic

a b c (Å): 5.2728 5.2728 5.2728
angles (deg): 60.00 60.00 60.00
Site moments in Bohr magnetons follow the coordinates.
Atoms (fractional coordinates):
Zn: 0.0000 0.0000 0.0000  0.01
Pa: 0.7500 0.7500 0.7500  0.75
Nd: 0.2500 0.2500 0.2500  0.02
In: 0.5000 0.5000 0.5000  0.01

=====

# 5
An optimized crystal structure of SrLaGe3, computed with PBE-GGA.

Energy of formation in eV per formula unit: 2.43
Crystal system: cubic

a b c (Å): 5.4085 5.4085 5.4085
angles (deg): 90.00 90.00 90.00
Atoms (fractional coordinates):
Sr: 0.0000 0.0000 0.0000
Ge: 0.0000 0.5000 0.0000
Ge: 0.0000 0.0000 0.5000
Ge: 0.5000 0.0000 0.0000
La: 0.5000 0.5000 0.5000

=====

# 6
An optimized crystal structure of ReCl3, computed with PBE-GGA.

Energy above the lowest structure with this stoichiometry in meV/atom: 927
Crystal system: trigonal
ΔE_f (raw) in eV per formula unit: 1.02

a b c (Å): 8.9774 8.9774 8.9774
angles (deg): 20.53 20.53 20.53
Atoms (fractional coordinates):
Re: 0.0000 0.0000 0.0000
Cl: 0.7281 0.7281 0.7281
Cl: 0.5000 0.5000 0.5000
Cl: 0.2719 0.2719 0.2719

=====

# 7
An optimized crystal structure of Y3AlN, computed with PBE-GGA.

Crystal system: monoclinic
ΔE_f (raw) in eV per formula unit: -3.72

a b c (Å): 6.7100 6.7102 5.8595
angles (deg): 77.52 102.49 119.13
Atoms (fractional coordinates):
Y: 0.2341 0.5615 0.5297
Y: 0.0123 0.2786 0.0629
Y: 0.7338 0.5490 0.6029
Y: 0.5171 0.7834 0.0630
Y: 0.5200 0.2757 0.1107
Y: 0.2467 0.0618 0.6028
Al: 0.7295 0.0661 0.5783
Al: 0.0124 0.7833 0.1079
N: 0.3782 0.4175 0.3308
N: 0.6358 0.1598 0.8328

=====

# 8
An optimized crystal structure of BaCr2Cd, computed with PBE-GGA.

Energy of formation in eV per formula unit: 3.95
Crystal system: trigonal

a b c (Å): 10.0981 10.0981 10.0981
angles (deg): 20.20 20.20 20.20
Site moments in Bohr magnetons follow the coordinates.
Atoms (fractional coordinates):
Ba: 0.2500 0.2500 0.2500  -0.13
Cd: 0.7500 0.7500 0.7500  -0.01
Cr: 0.0135 0.0135 0.0135  3.87
Cr: 0.4865 0.4865 0.4865  3.87

=====

| no. | calculated total energy (eV per atom) |
| --- | --- |
| 1 | -7.0476 |
| 2 | -7.2201 |
| 3 | -5.0838 |
| 4 | -4.5750 |
| 5 | -3.6058 |
| 6 | -4.2431 |
| 7 | -7.0355 |
| 8 | -4.5341 |